Below is a relaxed Li5Cd4Rh2 crystal, with properties calculated at the PBE level.

```
Li5Cd4Rh2
1.0
5.706 0.000 0.000
0.000 15.459 0.000
0.000 0.000 4.480
Li Cd Rh
10 8 4
direct
0.000 0.000 0.000
0.003 0.406 0.000
0.249 0.249 0.000
0.251 0.749 0.000
0.497 0.906 0.000
0.500 0.500 0.000
0.503 0.094 0.000
0.749 0.251 0.000
0.751 0.751 0.000
0.997 0.594 0.000
0.001 0.839 0.500
0.236 0.500 0.500
0.264 0.000 0.500
0.499 0.339 0.500
0.501 0.661 0.500
0.736 0.000 0.500
0.764 0.500 0.500
0.999 0.161 0.500
0.001 0.665 0.500
0.499 0.165 0.500
0.501 0.835 0.500
0.999 0.335 0.500
```

Properties
calculated volume	197.6	Å³/f.u.
density	5.8	g/cm³
formation energy from the elements	-142	meV/atom